# 1
Entry from the Open Quantum Materials Database: a relaxed PuTlOs crystal (PBE).

Symmetry   F-43m, No. 216
V   23.6 A^3/atom
DFT total energy   -8.89 eV/atom
Magnetization   4.75 μB/f.u.

Cell: 4.6444 4.6444 4.6444 Å, 60.00 60.00 60.00°
With the nearest neighbours (Å) after each atom.
Sites, in units of the cell vectors:
Tl1 0.7500 0.7500 0.7500  4 Os 2.84
Pu1 0.2500 0.2500 0.2500  4 Os 2.84
Os1 0.0000 0.0000 0.0000  4 Pu 2.84, 4 Tl 2.84

# 2
Entry from the Open Quantum Materials Database: a relaxed PuTlOs crystal (PBE).

Symmetry   F-43m, No. 216
V   24.1 A^3/atom
DFT total energy   -8.26 eV/atom
Magnetization   4.55 μB/f.u.

Cell: 4.6759 4.6759 4.6759 Å, 60.00 60.00 60.00°
With the nearest neighbours (Å) after each atom.
Sites, in units of the cell vectors:
Tl1 0.0000 0.0000 0.0000  4 Pu 2.86
Pu1 0.2500 0.2500 0.2500  4 Tl 2.86, 4 Os 2.86
Os1 0.5000 0.5000 0.5000  4 Pu 2.86

# 3
Entry from the Open Quantum Materials Database: a relaxed TmPuOs crystal (PBE).

Symmetry   F-43m, No. 216
V   23.9 A^3/atom
Energy of formation   -26 kJ/mol of formula units
Excess energy over the best structure of this formula in the dataset   0.0 meV/atom
Magnetization   4.95 μB/f.u.

Cell: 4.6630 4.6630 4.6630 Å, 60.00 60.00 60.00°
With the nearest neighbours (Å) after each atom.
Sites, in units of the cell vectors:
Pu1 0.2500 0.2500 0.2500  4 Os 2.86
Tm1 0.7500 0.7500 0.7500  4 Os 2.86
Os1 0.0000 0.0000 0.0000  4 Pu 2.86, 4 Tm 2.86

# 4
Entry from the Open Quantum Materials Database: a relaxed PuZnOs crystal (PBE).

Symmetry   F-43m, No. 216
V   20.9 A^3/atom
Energy of formation   55 kJ/mol of formula units
Magnetization   4.31 μB/f.u.

Cell: 4.4563 4.4563 4.4563 Å, 60.00 60.00 60.00°
With the nearest neighbours (Å) after each atom.
Sites, in units of the cell vectors:
Os1 0.0000 0.0000 0.0000  4 Pu 2.73, 4 Zn 2.73
Pu1 0.2500 0.2500 0.2500  4 Os 2.73
Zn1 0.7500 0.7500 0.7500  4 Os 2.73

# 5
Entry from the Open Quantum Materials Database: a relaxed PuZnOs crystal (PBE).

Symmetry   F-43m, No. 216
V   20.5 A^3/atom
Energy of formation   225 kJ/mol of formula units
Magnetization   4.01 μB/f.u.

Cell: 4.4285 4.4285 4.4285 Å, 60.00 60.00 60.00°
With the nearest neighbours (Å) after each atom.
Sites, in units of the cell vectors:
Os1 0.7500 0.7500 0.7500  4 Pu 2.71
Zn1 0.2500 0.2500 0.2500  4 Pu 2.71
Pu1 0.0000 0.0000 0.0000  4 Zn 2.71, 4 Os 2.71

# 6
Entry from the Open Quantum Materials Database: a relaxed Rb2Os5 crystal (PBE).

Symmetry   R3m, No. 160
V   25.8 A^3/atom
DFT total energy   -7.40 eV/atom
Magnetization   0.01 μB/f.u.

Cell: 11.0403 11.0403 11.0403 Å, 23.01 23.01 23.01°
With the nearest neighbours (Å) after each atom.
Sites, in units of the cell vectors:
Os1 0.3394 0.3394 0.3394  6 Os 2.62-2.67
Os2 0.9860 0.9860 0.9860  7 Os 2.36-2.62
Os3 0.9129 0.9129 0.9129  4 Os 2.36-2.55
Os4 0.5749 0.5749 0.5749  4 Os 2.33-2.55
Os5 0.6472 0.6472 0.6472  4 Os 2.33-2.55
Rb1 0.1675 0.1675 0.1675  6 Os 3.49-3.59, 3 Rb 3.79
Rb2 0.7470 0.7470 0.7470  4 Os 3.22-3.49